LiCoPO4 (GGA+U, optimized geometry); N(E_F) = 0.00 states/eV/cell; relative energy among the computed polymorphs = 0.004 eV/atom; size of the total moment = 12.002 μB/cell
1.0
10.184 0.000 0.000
0.000 5.054 0.006
0.000 5.013 6.819
Li Co P O
4 4 4 16
Direct
0.350 0.696 0.497
0.650 0.304 0.503
0.150 0.696 0.997
0.850 0.304 0.003
0.841 0.803 0.505
0.341 0.197 0.995
0.159 0.197 0.495
0.659 0.803 0.005
0.596 0.554 0.755
0.096 0.446 0.745
0.404 0.446 0.245
0.904 0.554 0.255
0.838 0.250 0.441
0.662 0.250 0.941
0.658 0.625 0.566
0.342 0.375 0.434
0.158 0.375 0.934
0.947 0.509 0.747
0.553 0.509 0.247
0.447 0.491 0.753
0.880 0.857 0.257
0.162 0.750 0.559
0.620 0.857 0.757
0.842 0.625 0.066
0.380 0.143 0.243
0.338 0.750 0.059
0.120 0.143 0.743
0.053 0.491 0.253